Computed, not measured: an optimized crystal structure of Cs2CePaSe4 at the PBE level of DFT.

Cell: 7.512 4.312 8.820 Å, 90.00 106.30 90.00°
Fractional coordinates of all 8 atoms:
Cs  0.000  0.000  0.000
Cs  0.500  0.500  0.000
Ce  0.000  0.500  0.500
Pa  0.500  0.000  0.500
Se  0.240  0.000  0.691
Se  0.278  0.500  0.311
Se  0.722  0.500  0.689
Se  0.760  0.000  0.309

Calculated values
As for the magnetization: 3.0 μB per cell. The value obtained for the total energy is -5.352 eV/atom.



Computed, not measured: an optimized crystal structure of Cs2CePa2Se6 at the PBE level of DFT.

Cell: 7.351 7.351 8.977 Å, 97.60 97.60 120.16°
Fractional coordinates of all 11 atoms:
Cs  0.165  0.835  0.000
Cs  0.835  0.165  0.000
Ce  0.000  0.000  0.500
Pa  0.334  0.666  0.500
Pa  0.666  0.334  0.500
Se  0.059  0.404  0.685
Se  0.284  0.284  0.313
Se  0.404  0.059  0.685
Se  0.596  0.941  0.315
Se  0.716  0.716  0.687
Se  0.941  0.596  0.315

Calculated values
As for the magnetization: 4.0 μB per cell. The value obtained for the total energy is -5.799 eV/atom.



Computed, not measured: an optimized crystal structure of Cs3CePa2Te6 at the PBE level of DFT.

Cell: 7.886 7.886 9.458 Å, 97.99 97.99 120.01°
Fractional coordinates of all 12 atoms:
Cs  0.000  0.000  0.000
Cs  0.336  0.664  0.000
Cs  0.664  0.336  0.000
Ce  0.500  0.500  0.500
Pa  0.167  0.833  0.500
Pa  0.833  0.167  0.500
Te  0.093  0.434  0.304
Te  0.224  0.224  0.695
Te  0.434  0.093  0.304
Te  0.566  0.907  0.696
Te  0.776  0.776  0.305
Te  0.907  0.566  0.696

Calculated values
As for the magnetization: 5.0 μB per cell. The value obtained for the total energy is -4.909 eV/atom.



Computed, not measured: an optimized crystal structure of Cs2Ce2PbS6 at the PBE level of DFT.

Cell: 7.272 7.272 8.454 Å, 97.50 97.50 120.40°
Fractional coordinates of all 11 atoms:
Cs  0.160  0.840  0.000
Cs  0.840  0.160  0.000
Ce  0.335  0.665  0.500
Ce  0.665  0.335  0.500
Pb  0.000  0.000  0.500
S  0.052  0.414  0.679
S  0.303  0.303  0.319
S  0.414  0.052  0.679
S  0.586  0.948  0.321
S  0.697  0.697  0.681
S  0.948  0.586  0.321

Calculated values
As for the magnetization: 0.0 μB per cell. The value obtained for the total energy is -5.299 eV/atom.



Computed, not measured: an optimized crystal structure of Cs2Ce3PbS8 at the PBE level of DFT.

Cell: 9.646 9.646 9.646 Å, 51.16 51.16 51.16°
Fractional coordinates of all 14 atoms:
Cs  0.000  0.000  0.000
Cs  0.362  0.362  0.362
Ce  0.000  0.000  0.493
Ce  0.000  0.493  0.000
Ce  0.493  0.000  0.000
Pb  0.599  0.599  0.599
S  0.210  0.731  0.731
S  0.222  0.222  0.222
S  0.259  0.259  0.811
S  0.259  0.811  0.259
S  0.731  0.210  0.731
S  0.731  0.731  0.210
S  0.778  0.778  0.778
S  0.811  0.259  0.259

Calculated values
As for the magnetization: 0.0 μB per cell. The value obtained for the total energy is -5.482 eV/atom.



Computed, not measured: an optimized crystal structure of Cs3CePb2S6 at the PBE level of DFT.

Cell: 7.406 7.406 8.397 Å, 98.40 98.40 119.94°
Fractional coordinates of all 12 atoms:
Cs  0.000  0.000  0.000
Cs  0.326  0.674  0.000
Cs  0.674  0.326  0.000
Ce  0.500  0.500  0.500
Pb  0.166  0.834  0.500
Pb  0.834  0.166  0.500
S  0.124  0.438  0.313
S  0.250  0.250  0.690
S  0.438  0.124  0.313
S  0.562  0.876  0.687
S  0.750  0.750  0.310
S  0.876  0.562  0.687

Calculated values
As for the magnetization: 0.0 μB per cell. The value obtained for the total energy is -4.470 eV/atom.